A geometry-optimized PrZnCu structure. Source: Alexandria via LeMat-Bulk, functional PBE-GGA.

Lattice parameters (Å, degrees): 6.534 6.534 6.534 90.00 90.00 90.00
Space group F-43m (No. 216)
Asymmetric unit:
1 Pr 0.000 0.000 0.000
2 Zn 0.000 0.000 0.500
3 Cu 0.250 0.250 0.250

Results
For the size of the total moment, the calculation gives 0.000 μB per cell. The density of states at the Fermi level is 3.316 states/eV/f.u. The value obtained for the formation energy from the elements is -101 meV/atom.